[1]
A PBEsol-optimized structure of Pb2NO, computed with meta-GGA SCAN.

## Properties
Calculated total energy = -661.317 eV/cell
Total moment = 0.0 μB per formula unit
Energy relative to the elements, uncorrected = 438.9 meV per atom

CIF file:
```
data_Pb2NO
_chemical_formula_sum 'Pb8 N4 O4'
_symmetry_space_group_name_H-M 'F m -3 m'
_symmetry_Int_Tables_number 225
_symmetry_space_group_name_Hall '-F 4 2 3'
_cell_length_a 6.284
_cell_length_b 6.284
_cell_length_c 6.284
_cell_angle_alpha 90.00
_cell_angle_beta 90.00
_cell_angle_gamma 90.00
loop_
_atom_site_label
_atom_site_fract_x
_atom_site_fract_y
_atom_site_fract_z
_atom_site_occupancy
Pb1 0.250 0.250 0.250 1
N1 0.000 0.000 0.000 1
O1 0.000 0.000 0.500 1
```



[2]
A PBEsol-optimized structure of Ni3HPt, computed with meta-GGA SCAN.

## Properties
Calculated total energy = -114.034 eV/cell
Total moment = 4.6 μB per formula unit
Energy above the most stable polymorph in this dataset = 1686 meV/atom

CIF file:
```
data_Ni3HPt
_chemical_formula_sum 'Ni3 H1 Pt1'
_symmetry_space_group_name_H-M 'P m -3 m'
_symmetry_Int_Tables_number 221
_symmetry_space_group_name_Hall '-P 4 2 3'
_cell_length_a 4.554
_cell_length_b 4.554
_cell_length_c 4.554
_cell_angle_alpha 90.00
_cell_angle_beta 90.00
_cell_angle_gamma 90.00
loop_
_atom_site_label
_atom_site_fract_x
_atom_site_fract_y
_atom_site_fract_z
_atom_site_occupancy
Ni1 0.000 0.000 0.500 1
H1 0.500 0.500 0.500 1
Pt1 0.000 0.000 0.000 1
```



[3]
A PBEsol-optimized structure of InRh3Se, computed with meta-GGA SCAN.

## Properties
Calculated total energy = -147.341 eV/cell
Total moment = 2.7 μB per formula unit
Energy above the most stable polymorph in this dataset = 1206 meV/atom
Energy relative to the elements, uncorrected = 1487.8 meV per atom

CIF file:
```
data_InRh3Se
_chemical_formula_sum 'In1 Rh3 Se1'
_symmetry_space_group_name_H-M 'P m -3 m'
_symmetry_Int_Tables_number 221
_symmetry_space_group_name_Hall '-P 4 2 3'
_cell_length_a 4.786
_cell_length_b 4.786
_cell_length_c 4.786
_cell_angle_alpha 90.00
_cell_angle_beta 90.00
_cell_angle_gamma 90.00
loop_
_atom_site_label
_atom_site_fract_x
_atom_site_fract_y
_atom_site_fract_z
_atom_site_occupancy
In1 0.000 0.000 0.000 1
Rh1 0.000 0.000 0.500 1
Se1 0.500 0.500 0.500 1
```



[4]
A PBEsol-optimized structure of MnCd2Te, computed with meta-GGA SCAN.

## Properties
Calculated total energy = -232.747 eV/cell
Total moment = 4.3 μB per formula unit
Energy relative to the elements, uncorrected = -9.6 meV per atom

CIF file:
```
data_MnCd2Te
_chemical_formula_sum 'Mn2 Cd4 Te2'
_symmetry_space_group_name_H-M 'I m m m'
_symmetry_Int_Tables_number 71
_symmetry_space_group_name_Hall '-I 2 2'
_cell_length_a 3.529
_cell_length_b 4.082
_cell_length_c 12.314
_cell_angle_alpha 90.00
_cell_angle_beta 90.00
_cell_angle_gamma 90.00
loop_
_atom_site_label
_atom_site_fract_x
_atom_site_fract_y
_atom_site_fract_z
_atom_site_occupancy
Mn1 0.000 0.000 0.000 1
Cd1 0.000 0.500 0.299 1
Te1 0.000 0.000 0.500 1
```



[5]
A PBEsol-optimized structure of ZrBe2Te, computed with meta-GGA SCAN.

## Properties
Calculated total energy = -301.574 eV/cell
Total moment = 0.0 μB per formula unit
Energy relative to the elements, uncorrected = 315.9 meV per atom

CIF file:
```
data_ZrBe2Te
_chemical_formula_sum 'Zr4 Be8 Te4'
_symmetry_space_group_name_H-M 'I -4 2 d'
_symmetry_Int_Tables_number 122
_symmetry_space_group_name_Hall 'I -4 2bw'
_cell_length_a 7.031
_cell_length_b 7.031
_cell_length_c 5.567
_cell_angle_alpha 90.00
_cell_angle_beta 90.00
_cell_angle_gamma 90.00
loop_
_atom_site_label
_atom_site_fract_x
_atom_site_fract_y
_atom_site_fract_z
_atom_site_occupancy
Zr1 0.000 0.000 0.000 1
Be1 0.224 0.750 0.625 1
Te1 0.000 0.000 0.500 1
```



[6]
A PBEsol-optimized structure of FeCo5, computed with meta-GGA SCAN.

## Properties
Calculated total energy = -104.953 eV/cell
Total moment = 12.1 μB per formula unit

CIF file:
```
data_FeCo5
_chemical_formula_sum 'Fe1 Co5'
_symmetry_space_group_name_H-M 'P 1 2/m 1'
_symmetry_Int_Tables_number 10
_symmetry_space_group_name_Hall '-P 2y'
_cell_length_a 2.408
_cell_length_b 3.960
_cell_length_c 6.690
_cell_angle_alpha 90.00
_cell_angle_beta 92.00
_cell_angle_gamma 90.00
loop_
_atom_site_label
_atom_site_fract_x
_atom_site_fract_y
_atom_site_fract_z
_atom_site_occupancy
Fe1 0.000 0.000 0.000 1
Co1 0.000 0.500 0.500 1
Co2 0.302 0.000 0.665 1
Co3 0.326 0.500 0.169 1
```



[7]
A PBEsol-optimized structure of LaMg2Cd, computed with meta-GGA SCAN.

## Properties
Calculated total energy = -84.229 eV/cell
Total moment = 0.0 μB per formula unit

CIF file:
```
data_LaMg2Cd
_chemical_formula_sum 'La1 Mg2 Cd1'
_symmetry_space_group_name_H-M 'P 4 m m'
_symmetry_Int_Tables_number 99
_symmetry_space_group_name_Hall 'P 4 -2'
_cell_length_a 3.358
_cell_length_b 3.358
_cell_length_c 8.819
_cell_angle_alpha 90.00
_cell_angle_beta 90.00
_cell_angle_gamma 90.00
loop_
_atom_site_label
_atom_site_fract_x
_atom_site_fract_y
_atom_site_fract_z
_atom_site_occupancy
La1 0.000 0.000 0.000 1
Mg1 0.000 0.000 0.525 1
Mg2 0.500 0.500 0.290 1
Cd1 0.500 0.500 0.732 1
```



[8]
A PBEsol-optimized structure of Ti3Fe2P6WO24, computed with meta-GGA SCAN.

## Properties
Calculated total energy = -1365.357 eV/cell
Total moment = 8.3 μB per formula unit
Energy relative to the elements, uncorrected = -2476.1 meV per atom

CIF file:
```
data_Ti3Fe2P6WO24
_chemical_formula_sum 'Ti9 Fe6 P18 W3 O72'
_symmetry_space_group_name_H-M 'R 3'
_symmetry_Int_Tables_number 146
_symmetry_space_group_name_Hall 'R 3'
_cell_length_a 8.6821
_cell_length_b 8.6821
_cell_length_c 20.3255
_cell_angle_alpha 90.00
_cell_angle_beta 90.00
_cell_angle_gamma 120.00
loop_
_atom_site_label
_atom_site_fract_x
_atom_site_fract_y
_atom_site_fract_z
_atom_site_occupancy
Ti1 0.0000 0.0000 0.0000 1
Ti2 0.0000 0.0000 0.2217 1
Ti3 0.0000 0.0000 0.5009 1
Fe1 0.0000 0.0000 0.3604 1
Fe2 0.0000 0.0000 0.8671 1
P1 0.0041 0.7134 0.1111 1
P2 0.0430 0.3744 0.2777 1
W1 0.0000 0.0000 0.7240 1
O1 0.0030 0.1964 0.6740 1
O2 0.0128 0.8175 0.1727 1
O3 0.0181 0.1856 0.2854 1
O4 0.0196 0.8291 0.7878 1
O5 0.1477 0.6753 0.7157 1
O6 0.1489 0.4744 0.2169 1
O7 0.1649 0.4779 0.6037 1
O8 0.1684 0.6891 0.1025 1
```